An optimized crystal structure of CsK2H8Pt. Source: Alexandria via LeMat-Bulk, functional PBE.

a b c (Å): 5.5658 5.5658 7.8469
angles (deg): 90.00 90.00 120.00
Space group P-3m1 (No. 164)
One atom of each set of equivalent atoms:
Cs (0.0000, 0.0000, 0.0000) [1 per cell]
K (0.3333, 0.6667, 0.3436) [2 per cell]
H (0.1397, 0.2794, 0.6227) [6 per cell]
H (0.3333, 0.6667, 0.9935) [2 per cell]
Pt (0.0000, 0.0000, 0.5000) [1 per cell]

Calculated values
- volume (A^3/atom) = 17.5
- electronic total energy (eV/f.u.) = -37.7